(1)
DFT (PBE-GGA) results for Au2CBr after structural relaxation.

Geometry as POSCAR:
```
Au2CBr
1.0
0.000 3.290 3.290
3.290 0.000 3.290
3.290 3.290 0.000
Br C Au
1 1 2
Direct
0.500 0.500 0.500
0.000 0.000 0.000
0.250 0.250 0.250
0.750 0.750 0.750
```

Calculated values
Relative energy among the computed polymorphs   999 meV/atom
Formation energy (no corrections)   1.854 eV per atom
E_tot   -2.509 eV per atom
Space-group type   Fm-3m (225)

(2)
DFT (PBE-GGA) results for AuC3Br after structural relaxation.

Geometry as POSCAR:
```
AuC3Br
1.0
4.258 0.000 0.000
0.000 4.258 0.000
0.000 0.000 4.258
Br C Au
1 3 1
Direct
0.500 0.500 0.500
0.000 0.000 0.500
0.500 0.000 0.000
0.000 0.500 0.000
0.000 0.000 0.000
```

Calculated values
Relative energy among the computed polymorphs   0 meV/atom
Formation energy (no corrections)   3.131 eV per atom
E_tot   -3.394 eV per atom
Space-group type   Pm-3m (221)

(3)
DFT (PBE-GGA) results for AuC4Br2 after structural relaxation.

Geometry as POSCAR:
```
AuC4Br2
1.0
4.028 0.000 0.000
0.000 4.028 0.000
2.014 2.014 9.559
C Au Br
4 1 2
Direct
0.000 0.500 0.000
0.206 0.206 0.588
0.500 0.000 0.000
0.794 0.794 0.412
0.000 0.000 0.000
0.698 0.698 0.604
0.302 0.302 0.396
```

Calculated values
Formation energy (no corrections)   2.747 eV per atom
E_tot   -3.470 eV per atom
Space-group type   I4/mmm (139)

Theoretical density (computed, Mg/m³): 11.33, 6.73, 4.33